Y2OsRu after structural relaxation, computed with GGA-PBE.

Cell lengths 4.300, 4.402, 9.980 Å; angles 90.00, 90.00, 90.00 degrees
Space group Amm2 (No. 38)
Asymmetric unit:
Y1 0.000 0.000 0.000 x2
Y2 0.500 0.000 0.292 x2
Os1 0.000 0.000 0.699 x2
Ru1 0.500 0.000 0.596 x2

## Properties
- energy relative to the elements (eV/atom) = -0.1839
- total energy (eV/atom) = -8.54